1.
Sc2Cd2Au | GGA-PBE | relaxed

abc: 7.3953 7.3953 3.9733
angles: 90.00 90.00 90.00
Atoms (fractional coordinates):
Sc  0.1671  0.3329  0.0000
Sc  0.3329  0.8329  0.0000
Sc  0.6671  0.1671  0.0000
Sc  0.8329  0.6671  0.0000
Cd  0.1349  0.6349  0.5000
Cd  0.3651  0.1349  0.5000
Cd  0.6349  0.8651  0.5000
Cd  0.8651  0.3651  0.5000
Au  0.0000  0.0000  0.5000
Au  0.5000  0.5000  0.5000

2.
Sc2CdAu2 | GGA-PBE | relaxed

abc: 6.2873 6.2873 6.2873
angles: 136.18 136.18 63.70
Atoms (fractional coordinates):
Sc  0.2500  0.7500  0.5000
Sc  0.7500  0.2500  0.5000
Cd  0.0000  0.0000  0.0000
Au  0.3778  0.3778  0.0000
Au  0.6222  0.6222  0.0000

3.
ScCd2Au | GGA-PBE | relaxed

abc: 8.6193 8.6193 8.6193
angles: 149.31 149.31 43.95
Atoms (fractional coordinates):
Sc  0.1414  0.1414  0.0000
Sc  0.8586  0.8586  0.0000
Cd  0.0000  0.5000  0.5000
Cd  0.3709  0.3709  0.0000
Cd  0.5000  0.0000  0.5000
Cd  0.6291  0.6291  0.0000
Au  0.2500  0.7500  0.5000
Au  0.7500  0.2500  0.5000

4.
ScCd2Au | GGA-PBE | relaxed

abc: 4.2061 4.2061 4.6743
angles: 90.00 90.00 90.00
Atoms (fractional coordinates):
Sc  0.0000  0.0000  0.0000
Cd  0.0000  0.5000  0.5000
Cd  0.5000  0.0000  0.5000
Au  0.5000  0.5000  0.0000

5.
ScCd2Au8 | GGA-PBE | relaxed

abc: 7.6124 7.6124 4.0355
angles: 90.00 90.00 109.10
Atoms (fractional coordinates):
Sc  0.0000  0.0000  0.0000
Cd  0.3784  0.6216  0.5000
Cd  0.6216  0.3784  0.5000
Au  0.0458  0.2966  0.5000
Au  0.2278  0.7722  0.0000
Au  0.2966  0.0458  0.5000
Au  0.3283  0.3283  0.0000
Au  0.6717  0.6717  0.0000
Au  0.7034  0.9542  0.5000
Au  0.7722  0.2278  0.0000
Au  0.9542  0.7034  0.5000

6.
Sc3Cd2Au | GGA-PBE | relaxed

abc: 3.4825 3.4825 10.5327
angles: 90.00 90.00 90.00
Atoms (fractional coordinates):
Sc  0.0000  0.0000  0.0000
Sc  0.0000  0.0000  0.3453
Sc  0.0000  0.0000  0.6547
Cd  0.5000  0.5000  0.1685
Cd  0.5000  0.5000  0.8315
Au  0.5000  0.5000  0.5000

7.
ScCd2Au | GGA-PBE | relaxed

abc: 6.0684 6.0684 3.0833
angles: 103.12 103.12 122.57
Atoms (fractional coordinates):
Sc  0.0000  0.0000  0.0000
Cd  0.0000  0.5000  0.5000
Cd  0.5000  0.0000  0.5000
Au  0.5000  0.5000  0.0000

8.
Sc6CdAu5 | GGA-PBE | relaxed

abc: 7.7050 7.7050 6.8094
angles: 90.00 90.00 143.41
Atoms (fractional coordinates):
Sc  0.0000  0.0000  0.2377
Sc  0.0000  0.0000  0.7623
Sc  0.3293  0.6707  0.2506
Sc  0.3293  0.6707  0.7494
Sc  0.6707  0.3293  0.2506
Sc  0.6707  0.3293  0.7494
Cd  0.5000  0.5000  0.5000
Au  0.1522  0.8478  0.5000
Au  0.1700  0.8300  0.0000
Au  0.5000  0.5000  0.0000
Au  0.8300  0.1700  0.0000
Au  0.8478  0.1522  0.5000

9.
Sc2CdAu | GGA-PBE | relaxed

abc: 5.9373 5.9373 5.9373
angles: 146.59 131.66 60.03
Atoms (fractional coordinates):
Sc  0.0000  0.0000  0.0000
Sc  0.7210  0.2210  0.5000
Cd  0.4499  0.4499  0.0000
Au  0.2200  0.7200  0.5000

10.
Sc8CdAu2 | GGA-PBE | relaxed

abc: 8.3262 8.3262 8.3262
angles: 147.65 126.38 64.03
Atoms (fractional coordinates):
Sc  0.1223  0.3374  0.7849
Sc  0.1433  0.1433  0.0000
Sc  0.3086  0.0000  0.3086
Sc  0.4475  0.6626  0.7849
Sc  0.5525  0.3374  0.2151
Sc  0.6914  0.0000  0.6914
Sc  0.8567  0.8567  0.0000
Sc  0.8777  0.6626  0.2151
Cd  0.0000  0.5000  0.5000
Au  0.3017  0.8017  0.5000
Au  0.6983  0.1983  0.5000

11.
Sc2CdAu | GGA-PBE | relaxed

abc: 8.8927 8.8927 8.8927
angles: 22.60 22.60 22.60
Atoms (fractional coordinates):
Sc  0.2430  0.2430  0.2430
Sc  0.7570  0.7570  0.7570
Cd  0.0000  0.0000  0.0000
Au  0.5000  0.5000  0.5000

12.
ScCd2Au | GGA-PBE | relaxed

abc: 3.2879 4.2218 6.3617
angles: 90.00 104.57 90.00
Atoms (fractional coordinates):
Sc  0.0000  0.0000  0.0000
Cd  0.3514  0.5000  0.6997
Cd  0.7425  0.0000  0.4777
Au  0.5828  0.5000  0.1708

ΔE_f (eV per atom)
-0.252, -0.406, -0.398, -0.345, -0.212, -0.467, -0.208, -0.721, -0.421, -0.286, -0.344, -0.348